[1]
{
  "formula": "Mg2ZnFe",
  "functional": "GGA-PBE",
  "state": "optimized geometry",
  "ef_ev_per_atom": 0.186,
  "density_g_cm3": 4.33,
  "lattice": [[-3.276, 2.949, -2.156], [0.239, -0.660, -4.857], [-0.455, -3.204, 3.689]],
  "species": ["Zn", "Mg", "Mg", "Fe"],
  "frac_coords": [[0.250, 0.750, 0.500], [0.000, 0.000, 0.000], [0.500, 0.500, 0.000], [0.750, 0.250, 0.500]]
}



[2]
{
  "formula": "Mg2ZnFe",
  "functional": "GGA-PBE",
  "state": "optimized geometry",
  "ef_ev_per_atom": 0.122,
  "density_g_cm3": 4.21,
  "lattice": [[-2.935, -1.909, 2.607], [2.043, -0.370, 2.029], [-0.189, 4.517, 3.095]],
  "species": ["Mg", "Mg", "Fe", "Zn"],
  "frac_coords": [[0.500, 0.292, 0.289], [0.000, 0.960, 0.954], [0.500, 0.562, 0.752], [0.000, 0.686, 0.505]]
}



[3]
{
  "formula": "Mg2ZnFe",
  "functional": "GGA-PBE",
  "state": "optimized geometry",
  "ef_ev_per_atom": 0.140,
  "density_g_cm3": 4.31,
  "lattice": [[-2.445, 2.916, 0.989], [-0.800, -1.466, 2.344], [3.460, 1.104, 5.297]],
  "species": ["Fe", "Zn", "Mg", "Mg"],
  "frac_coords": [[0.500, 0.750, 0.750], [0.500, 0.250, 0.250], [0.000, 0.488, 0.510], [0.000, 0.012, 0.990]]
}



[4]
{
  "formula": "MgZnFe2",
  "functional": "GGA-PBE",
  "state": "optimized geometry",
  "ef_ev_per_atom": 0.151,
  "density_g_cm3": 6.12,
  "lattice": [[5.820, 0.012, 0.038], [-2.345, 4.138, -0.021], [1.131, 0.681, 2.274]],
  "species": ["Zn", "Fe", "Fe", "Mg"],
  "frac_coords": [[0.500, 0.500, 0.000], [0.500, 0.000, 0.500], [0.000, 0.000, 0.000], [0.000, 0.500, 0.500]]
}